(1)
A geometry-optimized KLaMn2 structure. Source: the Alexandria database, functional PBE.

The structure belongs to space group Cmmm (No. 65); the cell edges are 7.8272, 7.8621 and 3.6213 Å and the angles 90.00°, 90.00° and 90.00°. Symmetry generates all atoms from K at (0.0000, 0.0000, 0.0000), La at (0.0000, 0.5000, 0.0000) and Mn at (0.2500, 0.2500, 0.5000).

For the total energy, the calculation gives -5.28 eV per atom. The energy above the most stable polymorph in this dataset is 31.6 kJ per mole of atoms. Its energy relative to the elements is 0.81 eV per atom. Its total moment is 1.772 μB per atom.

(2)
A geometry-optimized Fe3C structure. Source: the Alexandria database, functional PBE.

The structure belongs to space group I4/mmm (No. 139); the cell edges are 3.3320, 3.3320 and 14.1718 Å and the angles 90.00°, 90.00° and 90.00°. Symmetry generates all atoms from Fe at (0.0000, 0.0000, 0.1273), Fe at (0.0000, 0.5000, 0.0000), Fe at (0.0000, 0.5000, 0.2500) and C at (0.0000, 0.0000, 0.4145).

For the total energy, the calculation gives -7.90 eV per atom. Its energy relative to the elements is 0.75 eV per atom. Its total moment is 0.830 μB per atom.

(3)
A geometry-optimized Na3Tm3PuO8 structure. Source: the Alexandria database, functional PBE.

The structure belongs to space group R-3m (No. 166, hexagonal axes); the cell edges are 6.7977, 6.7977 and 16.8249 Å and the angles 90.00°, 90.00° and 120.00°. Symmetry generates all atoms from Na at (0.0000, 0.5000, 0.0000), Tm at (0.0000, 0.5000, 0.5000), Pu at (0.0000, 0.0000, 0.5000), O at (0.0000, 0.0000, 0.2349) and O at (0.0068, 0.5034, 0.2327).

For the total energy, the calculation gives -7.61 eV per atom. Its total moment is 0.267 μB per atom. As for the uncorrected formation energy: -2851 meV per atom.

(4)
A geometry-optimized PuPa2Tl3Te6 structure. Source: the Alexandria database, functional PBE.

The structure belongs to space group C2/m (No. 12); the cell edges are 7.6008, 13.1674 and 8.7895 Å and the angles 90.00°, 106.75° and 90.00°. Symmetry generates all atoms from Pu at (0.0000, 0.0000, 0.0000), Pa at (0.0000, 0.3323, 0.0000), Tl at (0.0000, 0.1637, 0.5000), Tl at (0.0000, 0.5000, 0.5000), Te at (0.2318, 0.5000, 0.2160) and Te at (0.2431, 0.1695, 0.2192).

For the total energy, the calculation gives -5.62 eV per atom. Its total moment is 0.750 μB per atom. As for the uncorrected formation energy: -682 meV per atom.

(5)
A geometry-optimized Ta3Ti2Hg2 structure. Source: the Alexandria database, functional PBE.

The structure belongs to space group Cmmm (No. 65); the cell edges are 3.3471, 24.8524 and 3.2546 Å and the angles 90.00°, 90.00° and 90.00°. Symmetry generates all atoms from Ta at (0.0000, 0.0000, 0.0000), Ta at (0.0000, 0.4329, 0.5000), Ti at (0.0000, 0.1288, 0.0000) and Hg at (0.0000, 0.2985, 0.5000).

For the total energy, the calculation gives -7.41 eV per atom. Its energy relative to the elements is 0.02 eV per atom. Its total moment is 0.000 μB per atom.

(6)
A geometry-optimized AcSnSb4 structure. Source: the Alexandria database, functional PBE.

The structure belongs to space group F-43m (No. 216); the cell edges are 8.9860, 8.9860 and 8.9860 Å and the angles 90.00°, 90.00° and 90.00°. Symmetry generates all atoms from Ac at (0.0000, 0.0000, 0.0000), Sn at (0.2500, 0.2500, 0.7500) and Sb at (0.1231, 0.1231, 0.3769).

For the total energy, the calculation gives -4.27 eV per atom. Its total moment is 0.000 μB per atom. As for the uncorrected formation energy: -170 meV per atom.

(7)
A geometry-optimized Nd8Zn2Hg structure. Source: the Alexandria database, functional PBE.

The structure belongs to space group Immm (No. 71); the cell edges are 5.1224, 8.5696 and 15.0136 Å and the angles 90.00°, 90.00° and 90.00°. Symmetry generates all atoms from Nd at (0.0000, 0.0000, 0.1372), Nd at (0.0000, 0.2197, 0.3364), Nd at (0.0000, 0.3201, 0.0000), Zn at (0.0000, 0.5000, 0.1931) and Hg at (0.0000, 0.5000, 0.5000).

For the total energy, the calculation gives -3.83 eV per atom. The energy above the most stable polymorph in this dataset is 5.3 kJ per mole of atoms. Its energy relative to the elements is -0.10 eV per atom. Its total moment is 0.000 μB per atom.

(8)
A geometry-optimized Nd2YHoSe6 structure. Source: the Alexandria database, functional PBE.

The structure belongs to space group R3 (No. 146, hexagonal axes); the cell edges are 7.3479, 7.3479 and 19.5584 Å and the angles 90.00°, 90.00° and 120.00°. Symmetry generates all atoms from Nd at (0.0000, 0.0000, 0.0000), Nd at (0.0000, 0.0000, 0.4999), Y at (0.0000, 0.0000, 0.2006), Ho at (0.0000, 0.0000, 0.7004), Se at (0.0416, 0.6867, 0.7715) and Se at (0.0426, 0.3569, 0.2719).

For the total energy, the calculation gives -6.00 eV per atom. Its total moment is 0.000 μB per atom. As for the uncorrected formation energy: -1847 meV per atom.